Model P:
An optimized crystal structure of Zr2CoW, computed with PBE-GGA.

a = 5.4336 Å, b = 5.4336 Å, c = 5.4336 Å
α = 137.89°, β = 137.89°, γ = 61.08°
Closest atoms and distances in Å follow each position.
Fractional positions:
Zr: 0.0000 0.0000 0.0000  4 Co 2.76, 4 Zr 3.05, 4 W 3.05
W: 0.7500 0.2500 0.5000  8 Zr 2.76-3.05, 4 Co 3.05
Zr: 0.2500 0.7500 0.5000  4 W 2.76, 4 Zr 3.05, 4 Co 3.05
Co: 0.5000 0.5000 0.0000  8 Zr 2.76-3.05, 4 W 3.05

Output
symmetry	I-4m2, No. 119
DOS at the Fermi energy	1.06	states/eV/atom

=====

Model Q:
An optimized crystal structure of Zr2CoW, computed with PBE-GGA.

a = 3.3250 Å, b = 4.8702 Å, c = 6.5200 Å
α = 41.81°, β = 90.00°, γ = 90.00°
Closest atoms and distances in Å follow each position.
Fractional positions:
W: 0.0000 0.0000 0.5000  4 Zr 2.74, 4 Co 2.95
Zr: 0.0000 0.0000 0.0000  4 Co 2.74, 4 Zr 2.95
Co: 0.5000 0.5000 0.5000  4 Zr 2.74, 4 W 2.95
Zr: 0.5000 0.5000 0.0000  4 W 2.74, 4 Zr 2.95

Output
symmetry	P2/m, No. 10
DOS at the Fermi energy	1.04	states/eV/atom

=====

Model R:
An optimized crystal structure of Zr2CoW, computed with PBE-GGA.

a = 5.2662 Å, b = 5.2662 Å, c = 2.9403 Å
α = 78.61°, β = 78.61°, γ = 112.36°
Closest atoms and distances in Å follow each position.
Fractional positions:
Zr: 0.5000 0.5000 0.0000  2 Co 2.75, 2 W 2.75, 4 Zr 2.93-2.94
W: 0.0000 0.5000 0.5000  4 Zr 2.75, 2 Co 2.93, 2 W 2.94
Zr: 0.0000 0.0000 0.0000  2 W 2.75, 2 Co 2.75, 4 Zr 2.93-2.94
Co: 0.5000 0.0000 0.5000  4 Zr 2.75, 2 W 2.93, 2 Co 2.94

Output
symmetry	C2/m, No. 12
DOS at the Fermi energy	1.21	states/eV/atom

=====

Most stable one: model P, least stable one: model Q.

=====

Model P:
An optimized crystal structure of Zr2CoW, computed with PBE-GGA.

a = 3.2789 Å, b = 3.2789 Å, c = 6.5620 Å
α = 90.00°, β = 90.00°, γ = 90.00°
Closest atoms and distances in Å follow each position.
Fractional positions:
Zr: 0.0000 0.0000 0.4903  4 Co 2.80, 4 W 2.88
Co: 0.5000 0.5000 0.2500  8 Zr 2.80
W: 0.5000 0.5000 0.7500  8 Zr 2.88
Zr: 0.0000 0.0000 0.0097  4 Co 2.80, 4 W 2.88

Output
symmetry	P4/mmm, No. 123
DOS at the Fermi energy	0.85	states/eV/atom

=====

Model Q:
An optimized crystal structure of Zr2CoW, computed with PBE-GGA.

a = 4.3411 Å, b = 2.9378 Å, c = 5.6082 Å
α = 80.62°, β = 90.00°, γ = 90.00°
Closest atoms and distances in Å follow each position.
Fractional positions:
Zr: 0.0000 0.0024 0.0062  2 Co 2.73, 2 W 2.77, 4 Zr 2.89-3.00
Co: 0.5000 0.2500 0.2500  4 Zr 2.73, 2 Co 2.94, 2 W 2.95
W: 0.5000 0.7500 0.7500  4 Zr 2.77, 2 W 2.94, 2 Co 2.95
Zr: 0.0000 0.4976 0.4938  2 Co 2.73, 2 W 2.77, 4 Zr 2.89-3.00

Output
symmetry	P2/m, No. 10
DOS at the Fermi energy	1.11	states/eV/atom

=====

Model R:
An optimized crystal structure of Zr2CoW, computed with PBE-GGA.

a = 4.6340 Å, b = 4.6340 Å, c = 4.6340 Å
α = 60.00°, β = 60.00°, γ = 60.00°
Closest atoms and distances in Å follow each position.
Fractional positions:
W: 0.5000 0.5000 0.5000  8 Zr 2.84
Zr: 0.7500 0.7500 0.7500  4 Co 2.84, 4 W 2.84
Zr: 0.2500 0.2500 0.2500  4 W 2.84, 4 Co 2.84
Co: 0.0000 0.0000 0.0000  8 Zr 2.84

Output
symmetry	Fm-3m, No. 225
DOS at the Fermi energy	1.15	states/eV/atom

=====

Model S:
An optimized crystal structure of Zr2CoW, computed with PBE-GGA.

a = 5.5805 Å, b = 5.5805 Å, c = 4.6193 Å
α = 65.56°, β = 65.56°, γ = 33.49°
Closest atoms and distances in Å follow each position.
Fractional positions:
W: 0.2290 0.2290 0.2710  2 Co 2.60, 4 Zr 2.83
Zr: 0.9910 0.9910 0.0091  4 Co 2.82, 2 W 2.99, 2 Zr 3.08
Zr: 0.7635 0.7635 0.7364  4 W 2.83, 2 Co 2.92, 2 Zr 3.08
Co: 0.5166 0.5166 0.4835  2 W 2.60, 4 Zr 2.82

Output
symmetry	Imm2, No. 44
DOS at the Fermi energy	0.80	states/eV/atom

=====

Most stable one: model P, least stable one: model Q.

=====

Model P:
An optimized crystal structure of Zr2CoW, computed with PBE-GGA.

a = 4.5873 Å, b = 4.5873 Å, c = 4.5873 Å
α = 60.00°, β = 60.00°, γ = 60.00°
Closest atoms and distances in Å follow each position.
Fractional positions:
Zr: 0.7500 0.7500 0.7500  4 Co 2.81, 4 Zr 2.81
Co: 0.5000 0.5000 0.5000  4 Zr 2.81, 4 W 2.81
Zr: 0.0000 0.0000 0.0000  4 Zr 2.81, 4 W 2.81
W: 0.2500 0.2500 0.2500  4 Zr 2.81, 4 Co 2.81

Output
symmetry	F-43m, No. 216
DOS at the Fermi energy	0.78	states/eV/atom

=====

Model Q:
An optimized crystal structure of Zr2CoW, computed with PBE-GGA.

a = 7.2510 Å, b = 7.2510 Å, c = 5.8430 Å
α = 51.65°, β = 51.65°, γ = 90.00°
Closest atoms and distances in Å follow each position.
Fractional positions:
Zr: 0.8750 0.8431 0.7500  2 Co 2.51
Co: 0.5000 0.5000 0.0000  4 Zr 2.51, 2 W 2.80
Zr: 0.1569 0.6250 0.2500  2 Co 2.51
Zr: 0.3750 0.4069 0.7500  2 Co 2.51
Zr: 0.5931 0.1250 0.2500  2 Co 2.51
W: 0.7500 0.2500 0.5000  2 Co 2.80, 4 Zr 2.82
Co: 0.2500 0.7500 0.5000  4 Zr 2.51, 2 W 2.80
W: 0.0000 0.0000 0.0000  2 Co 2.80, 4 Zr 2.82

Output
symmetry	I-42d, No. 122
DOS at the Fermi energy	1.37	states/eV/atom

=====

Most stable one: model P, least stable one: model Q.

=====

Model P:
An optimized crystal structure of Zr2CoW, computed with PBE-GGA.

a = 3.0462 Å, b = 3.0462 Å, c = 7.8161 Å
α = 90.00°, β = 90.00°, γ = 90.00°
Closest atoms and distances in Å follow each position.
Fractional positions:
Co: 0.0000 0.0000 0.5406  4 W 2.49
Zr: 0.0000 0.0000 0.9682  4 W 3.00, 8 Zr 3.05-3.31, 1 Co 3.34
W: 0.5000 0.5000 0.7008  4 Co 2.49
Zr: 0.5000 0.5000 0.2905  4 Co 2.91, 4 Zr 3.05, 1 W 3.21

Output
symmetry	P4mm, No. 99
DOS at the Fermi energy	1.43	states/eV/atom

=====

Model Q:
An optimized crystal structure of Zr2CoW, computed with PBE-GGA.

a = 4.6133 Å, b = 2.9753 Å, c = 5.2627 Å
α = 78.77°, β = 90.00°, γ = 90.00°
Closest atoms and distances in Å follow each position.
Fractional positions:
Co: 0.0000 0.5261 0.5002  4 Zr 2.70-2.83, 2 W 2.78, 2 Co 2.98
W: 0.5000 0.7178 0.7534  4 Zr 2.74-2.79, 2 Co 2.78, 2 W 2.98
Zr: 0.5000 0.2664 0.2695  2 W 2.74-2.79, 2 Co 2.79, 4 Zr 2.98
Zr: 0.0000 0.9897 0.9769  2 Co 2.70-2.83, 2 W 2.78, 4 Zr 2.98

Output
symmetry	Pm, No. 6
DOS at the Fermi energy	1.01	states/eV/atom

=====

Model R:
An optimized crystal structure of Zr2CoW, computed with PBE-GGA.

a = 8.8173 Å, b = 8.8173 Å, c = 8.8173 Å
α = 20.29°, β = 20.29°, γ = 20.29°
Closest atoms and distances in Å follow each position.
Fractional positions:
Co: 0.2500 0.2500 0.2500  6 Zr 2.67
Zr: 0.9929 0.9929 0.9929  3 Co 2.67, 3 W 2.95
Zr: 0.5071 0.5071 0.5071  3 Co 2.67, 3 W 2.95
W: 0.7500 0.7500 0.7500  6 Zr 2.95, 6 W 3.11

Output
symmetry	R-3m, No. 166
DOS at the Fermi energy	0.82	states/eV/atom

=====

Most stable one: model P, least stable one: model R.